Here is crystalline La3Cd2Bi at its relaxed geometry from Alexandria. Energies are from PBE.

Values from the calculation:
Spin magnetization (μB per formula unit): 0.00
Raw total energy (eV per atom): -3.939

a = 5.4315 Å, b = 16.5567 Å, c = 4.1738 Å
α = 90.00°, β = 90.00°, γ = 90.00°
Last column: nearest neighbours and their distance in Å.
Space group Pmmn (No. 59, origin choice 2)
Symmetry-distinct sites (fractional):
La1 0.2500 0.0865 0.9995 x4  6 Cd 3.33-3.44, 2 Bi 3.42
La2 0.2500 0.7500 0.0021 x2  4 Bi 3.42-3.43, 4 Cd 3.63-3.64
Cd1 0.2500 0.5704 0.5001 x4  8 La 3.33-3.64, 2 Cd 3.58
Bi1 0.2500 0.2500 0.4988 x2  8 La 3.42-3.43

=====

Here is crystalline LaCd4Bi at its relaxed geometry from Alexandria. Energies are from PBE.

Values from the calculation:
Spin magnetization (μB per formula unit): 0.00
Raw total energy (eV per atom): -2.257

a = 8.6016 Å, b = 8.6016 Å, c = 8.6016 Å
α = 90.00°, β = 90.00°, γ = 90.00°
Last column: nearest neighbours and their distance in Å.
Space group F-43m (No. 216)
Symmetry-distinct sites (fractional):
La1 0.0000 0.0000 0.0000 x4  12 Cd 3.57, 4 Bi 3.72
Cd1 0.1248 0.1248 0.6248 x16  6 Cd 3.04
Bi1 0.2500 0.2500 0.2500 x4  12 Cd 3.57, 4 La 3.72

=====

Here is crystalline La2Cd2Bi at its relaxed geometry from Alexandria. Energies are from PBE.

Values from the calculation:
Spin magnetization (μB per formula unit): 0.00
Raw total energy (eV per atom): -3.386
Energy above the lowest structure with this stoichiometry (meV per atom): 160.9

a = 9.0831 Å, b = 9.0831 Å, c = 3.9438 Å
α = 90.00°, β = 90.00°, γ = 90.00°
Last column: nearest neighbours and their distance in Å.
Space group P4/mbm (No. 127)
Symmetry-distinct sites (fractional):
La1 0.1779 0.3221 0.0000 x4  6 Cd 3.26-3.39, 2 Bi 3.34
Cd1 0.1195 0.6195 0.5000 x4  1 Cd 3.07, 6 La 3.26-3.39
Bi1 0.0000 0.0000 0.0000 x2  4 La 3.34

=====

Here is crystalline LaCdBi3 at its relaxed geometry from Alexandria. Energies are from PBE.

Values from the calculation:
Spin magnetization (μB per formula unit): 0.00
Raw total energy (eV per atom): -3.903
Energy above the lowest structure with this stoichiometry (meV per atom): 0.0

a = 14.2530 Å, b = 6.5669 Å, c = 6.6318 Å
α = 90.00°, β = 90.00°, γ = 90.00°
Last column: nearest neighbours and their distance in Å.
Space group Pbcm (No. 57)
Symmetry-distinct sites (fractional):
La1 0.1826 0.0087 0.2500 x4  9 Bi 3.32-3.61, 2 Cd 3.66
Cd1 0.3825 0.2500 0.0000 x4  6 Bi 3.21-3.31, 2 Cd 3.32
Bi1 0.9999 0.2500 0.0000 x4  4 Bi 3.28-3.32, 4 La 3.47-3.52
Bi2 0.2331 0.5154 0.2500 x4  2 Cd 3.21, 4 La 3.32-3.40, 1 Bi 3.34
Bi3 0.4205 0.6786 0.7500 x4  4 Cd 3.30-3.31, 3 Bi 3.34-3.45, 1 La 3.61

=====

Here is crystalline LiLaCdBi at its relaxed geometry from Alexandria. Energies are from PBE.

Values from the calculation:
Spin magnetization (μB per formula unit): 0.00
Raw total energy (eV per atom): -3.364

a = 7.6367 Å, b = 7.6367 Å, c = 7.6367 Å
α = 90.00°, β = 90.00°, γ = 90.00°
Last column: nearest neighbours and their distance in Å.
Space group F-43m (No. 216)
Symmetry-distinct sites (fractional):
Li1 0.0000 0.0000 0.0000 x4  4 Cd 3.31, 4 Bi 3.31
La1 0.0000 0.0000 0.5000 x4  4 Cd 3.31, 4 Bi 3.31
Cd1 0.2500 0.2500 0.2500 x4  4 La 3.31, 4 Li 3.31
Bi1 0.2500 0.2500 0.7500 x4  4 La 3.31, 4 Li 3.31

=====

Here is crystalline LaMgCdBi2 at its relaxed geometry from Alexandria. Energies are from PBE.

Values from the calculation:
Spin magnetization (μB per formula unit): 0.00
Raw total energy (eV per atom): -2.997

a = 5.7946 Å, b = 5.7946 Å, c = 5.0008 Å
α = 90.00°, β = 90.00°, γ = 90.00°
Last column: nearest neighbours and their distance in Å.
Space group P4/mmm (No. 123)
Symmetry-distinct sites (fractional):
La1 0.0000 0.0000 0.0000 x1  8 Bi 3.83, 4 Mg 4.10
Mg1 0.5000 0.5000 0.0000 x1  2 Cd 2.50
Cd1 0.5000 0.5000 0.5000 x1  2 Mg 2.50
Bi1 0.0000 0.5000 0.5000 x2  2 Cd 2.90

=====

Here is crystalline LaMgCdBi3 at its relaxed geometry from Alexandria. Energies are from PBE.

Values from the calculation:
Spin magnetization (μB per formula unit): 0.00
Raw total energy (eV per atom): -3.565

a = 6.7766 Å, b = 4.7838 Å, c = 11.6793 Å
α = 90.00°, β = 98.57°, γ = 90.00°
Last column: nearest neighbours and their distance in Å.
Space group P2_1/m (No. 11)
Symmetry-distinct sites (fractional):
La1 0.2112 0.2500 0.3158 x2  7 Bi 3.38-3.52, 3 Cd 3.45-3.69
Mg1 0.3453 0.7500 0.9073 x2  5 Bi 3.03-3.08
Cd1 0.1230 0.2500 0.6200 x2  4 Bi 2.96-3.21
Bi1 0.0559 0.2500 0.8672 x2  1 Cd 2.99, 2 Mg 3.08, 1 Bi 3.22
Bi2 0.3121 0.7500 0.5335 x2  3 Cd 2.96-3.21
Bi3 0.4247 0.7500 0.1699 x2  3 Mg 3.03-3.06, 1 Bi 3.22, 2 La 3.38

=====

Here is crystalline LaMgCdBi at its relaxed geometry from Alexandria. Energies are from PBE.

Values from the calculation:
Spin magnetization (μB per formula unit): 0.00
Raw total energy (eV per atom): -3.177

a = 7.6830 Å, b = 7.6830 Å, c = 7.6830 Å
α = 90.00°, β = 90.00°, γ = 90.00°
Last column: nearest neighbours and their distance in Å.
Space group F-43m (No. 216)
Symmetry-distinct sites (fractional):
La1 0.0000 0.0000 0.0000 x4  4 Cd 3.33, 4 Bi 3.33
Mg1 0.0000 0.0000 0.5000 x4  4 Cd 3.33, 4 Bi 3.33
Cd1 0.2500 0.2500 0.7500 x4  4 La 3.33, 4 Mg 3.33
Bi1 0.2500 0.2500 0.2500 x4  4 La 3.33, 4 Mg 3.33

=====

Here is crystalline LaCdBiN at its relaxed geometry from Alexandria. Energies are from PBE.

Values from the calculation:
Spin magnetization (μB per formula unit): 0.00
E_form (uncorrected) (kJ/mol of formula units): -176
Raw total energy (eV per atom): -4.967

a = 3.4915 Å, b = 3.4915 Å, c = 16.3318 Å
α = 90.00°, β = 90.00°, γ = 90.00°
Last column: nearest neighbours and their distance in Å.
Space group I4mm (No. 107)
Symmetry-distinct sites (fractional):
La1 0.0000 0.0000 0.0000 x2  4 N 2.52
Cd1 0.0000 0.0000 0.6690 x2  1 N 3.27, 4 Cd 3.49, 4 Bi 3.52
Bi1 0.0000 0.0000 0.3227 x2  1 N 2.39
N1 0.0000 0.0000 0.4687 x2  1 Bi 2.39, 4 La 2.52

=====

Here is crystalline NaLa2CdBi at its relaxed geometry from Alexandria. Energies are from PBE.

Values from the calculation:
Spin magnetization (μB per formula unit): 0.00
Raw total energy (eV per atom): -3.141

a = 6.2070 Å, b = 6.2070 Å, c = 5.5605 Å
α = 90.00°, β = 90.00°, γ = 90.00°
Last column: nearest neighbours and their distance in Å.
Space group P4/mmm (No. 123)
Symmetry-distinct sites (fractional):
Na1 0.0000 0.0000 0.0000 x1  2 Bi 2.78
La1 0.0000 0.5000 0.5000 x2  2 Bi 3.10
Cd1 0.5000 0.5000 0.0000 x1  8 La 4.17, 4 Na 4.39
Bi1 0.0000 0.0000 0.5000 x1  2 Na 2.78, 4 La 3.10

=====

Here is crystalline NaLaCdBi at its relaxed geometry from Alexandria. Energies are from PBE.

Values from the calculation:
Spin magnetization (μB per formula unit): 0.00
Raw total energy (eV per atom): -3.183

a = 7.8225 Å, b = 7.8225 Å, c = 7.8225 Å
α = 90.00°, β = 90.00°, γ = 90.00°
Last column: nearest neighbours and their distance in Å.
Space group F-43m (No. 216)
Symmetry-distinct sites (fractional):
Na1 0.0000 0.0000 0.0000 x4  4 Bi 3.39, 4 Cd 3.39
La1 0.0000 0.0000 0.5000 x4  4 Cd 3.39, 4 Bi 3.39
Cd1 0.2500 0.2500 0.7500 x4  4 La 3.39, 4 Na 3.39
Bi1 0.2500 0.2500 0.2500 x4  4 La 3.39, 4 Na 3.39

=====

Here is crystalline LaNbCdBi2 at its relaxed geometry from Alexandria. Energies are from PBE.

Values from the calculation:
Spin magnetization (μB per formula unit): 1.64
Raw total energy (eV per atom): -3.555

a = 6.1589 Å, b = 6.1589 Å, c = 5.2176 Å
α = 90.00°, β = 90.00°, γ = 90.00°
Last column: nearest neighbours and their distance in Å.
Space group P4/mmm (No. 123)
Symmetry-distinct sites (fractional):
La1 0.0000 0.0000 0.0000 x1  2 Nb 2.61
Nb1 0.0000 0.0000 0.5000 x1  2 La 2.61
Cd1 0.5000 0.5000 0.5000 x1  8 Bi 4.04, 4 Nb 4.36
Bi1 0.0000 0.5000 0.0000 x2  2 La 3.08